Tm2TeC after structural relaxation, computed with GGA-PBE.

Summary:
The total moment comes out at 0.00 μB per formula unit. The uncorrected energy comes out at -6.17 eV per atom. Its uncorrected formation energy is -842 meV/atom. The space-group type is R3m (160).

a = 3.7510 Å, b = 3.7510 Å, c = 7.3371 Å
α = 75.19°, β = 75.19°, γ = 60.00°
Atoms (fractional coordinates):
Te  0.4995  0.4995  0.5015
Tm  0.2719  0.2719  0.1843
C  0.6678  0.6678  0.9966
Tm  0.0608  0.0608  0.8176